(1)
# PBE Y3MgAl8, optimized geometry
# DFT total energy   -4.64 eV/atom
# Calculated volume   239.5 Å³/cell
# Symmetry   P3m1
# DOS(E_F)   5.14 states/eV/cell
# Energy above the most stable polymorph in this dataset   0.5 kJ/mol of atoms
# Magnetic moment   0.0 μB/f.u.
data_Y3MgAl8
_chemical_formula_sum 'Y3 Mg1 Al8'
_space_group_name_H-M_alt 'P 1'
_space_group_IT_number 1
_space_group_name_Hall 'P 1'
_cell_length_a 5.559
_cell_length_b 5.559
_cell_length_c 8.952
_cell_angle_alpha 90.00
_cell_angle_beta 90.00
_cell_angle_gamma 120.00
loop_
_atom_site_label
_atom_site_type_symbol
_atom_site_fract_x
_atom_site_fract_y
_atom_site_fract_z
Mg1 Mg 0.000 0.000 0.559
Al1 Al 0.333 0.667 0.502
Al2 Al 0.163 0.326 0.251
Al3 Al 0.505 0.495 0.749
Al4 Al 0.333 0.667 0.997
Al5 Al 0.163 0.837 0.251
Al6 Al 0.674 0.837 0.251
Al7 Al 0.505 0.010 0.749
Al8 Al 0.990 0.495 0.749
Y1 Y 0.667 0.333 0.071
Y2 Y 0.000 0.000 0.931
Y3 Y 0.667 0.333 0.440

=====

(2)
# PBE YMgAl2, optimized geometry
# DFT total energy   -4.11 eV/atom
# Calculated volume   88.3 Å³/cell
# Symmetry   Amm2
# DOS(E_F)   1.58 states/eV/cell
# Magnetic moment   0.0 μB/f.u.
data_YMgAl2
_chemical_formula_sum 'Y1 Mg1 Al2'
_space_group_name_H-M_alt 'P 1'
_space_group_IT_number 1
_space_group_name_Hall 'P 1'
_cell_length_a 4.471
_cell_length_b 3.435
_cell_length_c 5.997
_cell_angle_alpha 73.43
_cell_angle_beta 90.00
_cell_angle_gamma 90.00
loop_
_atom_site_label
_atom_site_type_symbol
_atom_site_fract_x
_atom_site_fract_y
_atom_site_fract_z
Mg1 Mg 0.000 0.466 0.443
Al1 Al 0.500 0.056 0.264
Al2 Al 0.000 0.190 0.997
Y1 Y 0.500 0.788 0.796

=====

(3)
# PBE YMg3Al8, optimized geometry
# DFT total energy   -3.59 eV/atom
# Calculated volume   230.0 Å³/cell
# Symmetry   P3m1
# DOS(E_F)   4.03 states/eV/cell
# Magnetic moment   0.0 μB/f.u.
data_YMg3Al8
_chemical_formula_sum 'Y1 Mg3 Al8'
_space_group_name_H-M_alt 'P 1'
_space_group_IT_number 1
_space_group_name_Hall 'P 1'
_cell_length_a 5.508
_cell_length_b 5.508
_cell_length_c 8.752
_cell_angle_alpha 90.00
_cell_angle_beta 90.00
_cell_angle_gamma 120.00
loop_
_atom_site_label
_atom_site_type_symbol
_atom_site_fract_x
_atom_site_fract_y
_atom_site_fract_z
Al1 Al 0.333 0.667 0.005
Al2 Al 0.504 0.008 0.750
Al3 Al 0.504 0.496 0.750
Al4 Al 0.163 0.325 0.249
Al5 Al 0.333 0.667 0.500
Al6 Al 0.163 0.837 0.249
Al7 Al 0.992 0.496 0.750
Al8 Al 0.675 0.837 0.249
Mg1 Mg 0.667 0.333 0.064
Mg2 Mg 0.667 0.333 0.430
Mg3 Mg 0.000 0.000 0.940
Y1 Y 0.000 0.000 0.565

=====

(4)
# PBE Y5Mg4Al, optimized geometry
# DFT total energy   -4.42 eV/atom
# Calculated volume   266.4 Å³/cell
# Symmetry   P4/mmm
# DOS(E_F)   11.78 states/eV/cell
# Magnetic moment   0.0 μB/f.u.
data_Y5Mg4Al
_chemical_formula_sum 'Y5 Mg4 Al1'
_space_group_name_H-M_alt 'P 1'
_space_group_IT_number 1
_space_group_name_Hall 'P 1'
_cell_length_a 3.738
_cell_length_b 3.738
_cell_length_c 19.062
_cell_angle_alpha 90.00
_cell_angle_beta 90.00
_cell_angle_gamma 90.00
loop_
_atom_site_label
_atom_site_type_symbol
_atom_site_fract_x
_atom_site_fract_y
_atom_site_fract_z
Y1 Y 0.500 0.500 0.704
Y2 Y 0.500 0.500 0.092
Y3 Y 0.500 0.500 0.908
Y4 Y 0.500 0.500 0.500
Y5 Y 0.500 0.500 0.296
Mg1 Mg 0.000 0.000 0.805
Mg2 Mg 0.000 0.000 0.602
Mg3 Mg 0.000 0.000 0.195
Mg4 Mg 0.000 0.000 0.398
Al1 Al 0.000 0.000 0.000

=====

(5)
# PBE YMgAl, optimized geometry
# DFT total energy   -4.17 eV/atom
# Calculated volume   143.3 Å³/cell
# Symmetry   C2/m
# DOS(E_F)   3.22 states/eV/cell
# Energy above the most stable polymorph in this dataset   9.9 kJ/mol of atoms
# Magnetic moment   0.0 μB/f.u.
data_YMgAl
_chemical_formula_sum 'Y2 Mg2 Al2'
_space_group_name_H-M_alt 'P 1'
_space_group_IT_number 1
_space_group_name_Hall 'P 1'
_cell_length_a 3.700
_cell_length_b 7.013
_cell_length_c 6.099
_cell_angle_alpha 103.70
_cell_angle_beta 72.32
_cell_angle_gamma 105.32
loop_
_atom_site_label
_atom_site_type_symbol
_atom_site_fract_x
_atom_site_fract_y
_atom_site_fract_z
Mg1 Mg 0.353 0.760 0.950
Mg2 Mg 0.026 0.659 0.503
Y1 Y 0.601 0.381 0.075
Y2 Y 0.778 0.038 0.377
Al1 Al 0.322 0.372 0.623
Al2 Al 0.057 0.048 0.830

=====

(6)
# PBE YMg14Al, optimized geometry
# DFT total energy   -2.06 eV/atom
# Calculated volume   369.8 Å³/cell
# Symmetry   Amm2
# DOS(E_F)   8.12 states/eV/cell
# Energy above the most stable polymorph in this dataset   0.0 kJ/mol of atoms
# Magnetic moment   0.0 μB/f.u.
data_YMg14Al
_chemical_formula_sum 'Y1 Mg14 Al1'
_space_group_name_H-M_alt 'P 1'
_space_group_IT_number 1
_space_group_name_Hall 'P 1'
_cell_length_a 6.475
_cell_length_b 6.475
_cell_length_c 10.354
_cell_angle_alpha 90.00
_cell_angle_beta 90.00
_cell_angle_gamma 121.56
loop_
_atom_site_label
_atom_site_type_symbol
_atom_site_fract_x
_atom_site_fract_y
_atom_site_fract_z
Mg1 Mg 0.673 0.327 0.265
Mg2 Mg 0.335 0.172 0.000
Mg3 Mg 0.168 0.331 0.751
Mg4 Mg 0.669 0.832 0.249
Mg5 Mg 0.167 0.833 0.245
Mg6 Mg 0.332 0.668 0.000
Mg7 Mg 0.168 0.331 0.249
Mg8 Mg 0.833 0.679 0.500
Mg9 Mg 0.673 0.327 0.735
Mg10 Mg 0.167 0.833 0.755
Mg11 Mg 0.321 0.167 0.500
Mg12 Mg 0.828 0.665 0.000
Mg13 Mg 0.829 0.171 0.000
Mg14 Mg 0.669 0.832 0.751
Al1 Al 0.840 0.160 0.500
Y1 Y 0.327 0.673 0.500

=====

(7)
# PBE YMgAl2, optimized geometry
# DFT total energy   -4.09 eV/atom
# Calculated volume   85.7 Å³/cell
# Symmetry   I4/mmm
# DOS(E_F)   2.02 states/eV/cell
# Magnetic moment   0.0 μB/f.u.
data_YMgAl2
_chemical_formula_sum 'Y1 Mg1 Al2'
_space_group_name_H-M_alt 'P 1'
_space_group_IT_number 1
_space_group_name_Hall 'P 1'
_cell_length_a 5.277
_cell_length_b 5.277
_cell_length_c 5.277
_cell_angle_alpha 129.31
_cell_angle_beta 129.36
_cell_angle_gamma 74.47
loop_
_atom_site_label
_atom_site_type_symbol
_atom_site_fract_x
_atom_site_fract_y
_atom_site_fract_z
Mg1 Mg 0.750 0.250 0.500
Y1 Y 0.250 0.750 0.500
Al1 Al 0.500 0.500 0.000
Al2 Al 0.000 0.000 0.000

=====

(8)
# PBE YMgAl, optimized geometry
# DFT total energy   -4.09 eV/atom
# Calculated volume   278.0 Å³/cell
# Symmetry   Pnma
# DOS(E_F)   7.23 states/eV/cell
# Energy above the most stable polymorph in this dataset   17.1 kJ/mol of atoms
# Magnetic moment   0.0 μB/f.u.
data_YMgAl
_chemical_formula_sum 'Y4 Mg4 Al4'
_space_group_name_H-M_alt 'P 1'
_space_group_IT_number 1
_space_group_name_Hall 'P 1'
_cell_length_a 6.506
_cell_length_b 4.645
_cell_length_c 9.197
_cell_angle_alpha 90.00
_cell_angle_beta 90.00
_cell_angle_gamma 90.00
loop_
_atom_site_label
_atom_site_type_symbol
_atom_site_fract_x
_atom_site_fract_y
_atom_site_fract_z
Mg1 Mg 0.134 0.750 0.576
Mg2 Mg 0.866 0.250 0.424
Mg3 Mg 0.634 0.750 0.924
Mg4 Mg 0.366 0.250 0.076
Al1 Al 0.404 0.250 0.753
Al2 Al 0.596 0.750 0.247
Al3 Al 0.904 0.250 0.747
Al4 Al 0.096 0.750 0.253
Y1 Y 0.644 0.750 0.596
Y2 Y 0.356 0.250 0.404
Y3 Y 0.144 0.750 0.904
Y4 Y 0.856 0.250 0.096

=====

(9)
# PBE Y6MgAl3, optimized geometry
# DFT total energy   -5.41 eV/atom
# Calculated volume   521.3 Å³/cell
# Symmetry   P2_1/m
# DOS(E_F)   19.26 states/eV/cell
# Magnetic moment   0.0 μB/f.u.
data_Y6MgAl3
_chemical_formula_sum 'Y12 Mg2 Al6'
_space_group_name_H-M_alt 'P 1'
_space_group_IT_number 1
_space_group_name_Hall 'P 1'
_cell_length_a 5.174
_cell_length_b 9.300
_cell_length_c 11.380
_cell_angle_alpha 107.83
_cell_angle_beta 90.00
_cell_angle_gamma 90.00
loop_
_atom_site_label
_atom_site_type_symbol
_atom_site_fract_x
_atom_site_fract_y
_atom_site_fract_z
Al1 Al 0.250 0.775 0.973
Al2 Al 0.250 0.380 0.786
Al3 Al 0.750 0.620 0.214
Al4 Al 0.750 0.225 0.027
Al5 Al 0.750 0.463 0.617
Al6 Al 0.250 0.537 0.383
Y1 Y 0.750 0.736 0.498
Y2 Y 0.250 0.126 0.161
Y3 Y 0.750 0.178 0.707
Y4 Y 0.250 0.107 0.879
Y5 Y 0.250 0.652 0.680
Y6 Y 0.750 0.893 0.121
Y7 Y 0.750 0.544 0.912
Y8 Y 0.250 0.456 0.088
Y9 Y 0.750 0.348 0.320
Y10 Y 0.250 0.264 0.502
Y11 Y 0.750 0.874 0.839
Y12 Y 0.250 0.822 0.293
Mg1 Mg 0.250 0.959 0.591
Mg2 Mg 0.750 0.041 0.409

=====

(10)
# PBE Y2MgAl2, optimized geometry
# DFT total energy   -4.44 eV/atom
# Calculated volume   257.5 Å³/cell
# Symmetry   P4/mbm
# DOS(E_F)   10.53 states/eV/cell
# Magnetic moment   0.0 μB/f.u.
data_Y2MgAl2
_chemical_formula_sum 'Y4 Mg2 Al4'
_space_group_name_H-M_alt 'P 1'
_space_group_IT_number 1
_space_group_name_Hall 'P 1'
_cell_length_a 8.517
_cell_length_b 8.517
_cell_length_c 3.550
_cell_angle_alpha 90.00
_cell_angle_beta 90.00
_cell_angle_gamma 90.00
loop_
_atom_site_label
_atom_site_type_symbol
_atom_site_fract_x
_atom_site_fract_y
_atom_site_fract_z
Y1 Y 0.353 0.853 0.000
Y2 Y 0.147 0.353 0.000
Y3 Y 0.853 0.647 0.000
Y4 Y 0.647 0.147 0.000
Al1 Al 0.843 0.343 0.500
Al2 Al 0.343 0.157 0.500
Al3 Al 0.657 0.843 0.500
Al4 Al 0.157 0.657 0.500
Mg1 Mg 0.000 0.000 0.000
Mg2 Mg 0.500 0.500 0.000

=====

(11)
# PBE YMgAl, optimized geometry
# DFT total energy   -4.19 eV/atom
# Calculated volume   137.1 Å³/cell
# Symmetry   Imma
# DOS(E_F)   4.19 states/eV/cell
# Energy above the most stable polymorph in this dataset   7.3 kJ/mol of atoms
# Magnetic moment   0.0 μB/f.u.
data_YMgAl
_chemical_formula_sum 'Y2 Mg2 Al2'
_space_group_name_H-M_alt 'P 1'
_space_group_IT_number 1
_space_group_name_Hall 'P 1'
_cell_length_a 5.731
_cell_length_b 5.782
_cell_length_c 5.782
_cell_angle_alpha 90.33
_cell_angle_beta 119.71
_cell_angle_gamma 60.29
loop_
_atom_site_label
_atom_site_type_symbol
_atom_site_fract_x
_atom_site_fract_y
_atom_site_fract_z
Y1 Y 0.750 0.691 0.064
Y2 Y 0.250 0.930 0.303
Mg1 Mg 0.500 0.311 0.684
Mg2 Mg 0.000 0.311 0.684
Al1 Al 0.500 0.311 0.184
Al2 Al 0.000 0.811 0.684

=====

(12)
# PBE YMgAl, optimized geometry
# DFT total energy   -4.12 eV/atom
# Calculated volume   70.1 Å³/cell
# Symmetry   I4mm
# DOS(E_F)   1.17 states/eV/cell
# Energy above the most stable polymorph in this dataset   14.0 kJ/mol of atoms
# Magnetic moment   0.2 μB/f.u.
data_YMgAl
_chemical_formula_sum 'Y1 Mg1 Al1'
_space_group_name_H-M_alt 'P 1'
_space_group_IT_number 1
_space_group_name_Hall 'P 1'
_cell_length_a 6.671
_cell_length_b 6.672
_cell_length_c 3.353
_cell_angle_alpha 75.44
_cell_angle_beta 75.46
_cell_angle_gamma 29.11
loop_
_atom_site_label
_atom_site_type_symbol
_atom_site_fract_x
_atom_site_fract_y
_atom_site_fract_z
Mg1 Mg 0.352 0.352 0.648
Al1 Al 0.993 0.993 0.007
Y1 Y 0.655 0.655 0.345

=====

Record order is preserved below.
Formation energy: -4.756; -0.882; -1.864; -1.768; -0.701; -0.376; -0.800; -0.478; -2.532; -0.175; -0.781; -0.573 eV per formula unit